Entry 1:
V6GeRu5 | the Alexandria database | PBE | relaxed; formation energy from the elements = -232 kJ/mol of formula units; spin magnetization = 0.00 μB/f.u.
1.0
4.1221 0.0174 -1.2030
-0.7963 5.0978 -2.6546
-0.0449 0.6060 7.5188
Ru Ge V
5 1 6
Cartesian
2.6546 1.1692 1.4491
1.0847 2.1209 3.7475
-0.3982 2.5489 -1.3273
2.1962 3.6004 -0.0863
0.6263 4.5520 2.2122
0.0000 0.0000 0.0000
2.9465 3.4323 2.4820
3.3514 0.8395 3.8322
1.4487 3.9290 -2.6429
1.8771 1.1863 -1.2147
-0.0705 4.8818 -0.1709
0.3344 2.2890 1.1793



Entry 2:
TbTlSe | the Alexandria database | PBE | relaxed; spin magnetization = 0.00 μB/f.u.; formation energy (no corrections) = -735 meV per atom
1.0
-0.2910 2.8372 3.9101
-3.9628 -0.9227 -2.6206
-1.9567 -8.3110 5.8849
Se Tl Tb
2 2 2
Cartesian
-1.7847 0.4379 2.5446
-4.4257 -6.8344 4.6297
-0.6946 -2.9502 2.0890
-1.2621 -5.3608 3.7959
-3.2032 -5.5869 6.8107
-3.0073 -0.8095 0.3636



Entry 3:
KPuNp2O8 | the Alexandria database | PBE | relaxed; spin magnetization = 7.00 μB/f.u.; formation energy (no corrections) = -2717 meV per atom
1.0
5.1932 0.0789 -0.0037
0.1339 5.1906 -0.0060
0.0045 0.0077 7.0335
K Pu Np O
1 1 2 8
Cartesian
0.0023 0.0038 3.5167
0.0000 0.0000 0.0000
2.6669 2.6406 5.2776
2.6646 2.6366 1.7461
1.2425 4.0650 1.5284
3.6625 3.6321 7.0267
4.0865 1.2080 1.5297
4.0890 1.2122 5.4954
1.6691 1.6451 -0.0029
1.2450 4.0692 5.4941
3.5243 3.4979 3.5100
1.8072 1.7793 3.5138



Respective E values: -9.0094; -4.2283; -9.4646 eV/atom.